The following is a DFT calculation (PBE) of a geometry-optimized Er4BTeSe2 structure.

Cell lengths 5.734, 5.734, 7.114 Å; angles 113.77, 113.77, 90.00 degrees
Atoms (fractional coordinates):
Er  0.965  0.465  0.930
Er  0.535  0.035  0.070
Er  0.757  0.757  0.514
Er  0.243  0.243  0.486
B  0.750  0.250  0.500
Te  0.500  0.500  0.000
Se  0.250  0.750  0.500
Se  0.000  0.000  0.000

SG = I-4m2
Total magnetization = 0.000 μB per formula unit
Formation energy without anion corrections = -1.194 eV per atom

---

The following is a DFT calculation (PBE) of a geometry-optimized TaPbSe structure.

Cell lengths 4.680, 4.680, 4.680 Å; angles 60.00, 60.00, 60.00 degrees
Atoms (fractional coordinates):
Pb  0.500  0.500  0.500
Se  0.750  0.750  0.750
Ta  0.000  0.000  0.000

SG = F-43m
Total magnetization = 0.001 μB per formula unit
Formation energy without anion corrections = 0.830 eV per atom

---

The following is a DFT calculation (PBE) of a geometry-optimized NdHo3Sb4 structure.

Cell lengths 6.232, 6.232, 6.232 Å; angles 90.00, 90.00, 90.00 degrees
Atoms (fractional coordinates):
Nd  0.000  0.000  0.000
Ho  0.000  0.500  0.500
Ho  0.500  0.000  0.500
Ho  0.500  0.500  0.000
Sb  0.500  0.000  0.000
Sb  0.000  0.500  0.000
Sb  0.000  0.000  0.500
Sb  0.500  0.500  0.500

SG = Pm-3m
Total magnetization = 0.000 μB per formula unit
Formation energy without anion corrections = -1.125 eV per atom

---

The following is a DFT calculation (PBE) of a geometry-optimized V2Mo2Rh3 structure.

Cell lengths 4.094, 2.712, 9.420 Å; angles 90.00, 77.45, 90.00 degrees
Atoms (fractional coordinates):
V  0.566  0.500  0.868
V  0.434  0.500  0.132
Mo  0.707  0.500  0.585
Mo  0.293  0.500  0.415
Rh  0.852  0.000  0.296
Rh  0.000  0.000  0.000
Rh  0.148  0.000  0.704

SG = Cmmm
Energy of formation = -86 meV per atom
Total magnetization = 0.000 μB per formula unit

---

The following is a DFT calculation (PBE) of a geometry-optimized CeThGaSi structure.

Cell lengths 4.419, 4.011, 5.979 Å; angles 90.00, 111.69, 90.00 degrees
Each line ends with the local moment (μB).
Atoms (fractional coordinates):
Ce  0.143  0.000  0.285  0.57
Th  0.859  0.500  0.718  0.04
Ga  0.573  0.500  0.146  0.00
Si  0.425  0.000  0.851  0.00

SG = Amm2
Total magnetization = 0.761 μB per formula unit
Formation energy without anion corrections = -0.580 eV per atom

---

The following is a DFT calculation (PBE) of a geometry-optimized LaCeGdTl structure.

Cell lengths 5.533, 5.533, 5.533 Å; angles 60.00, 60.00, 60.00 degrees
Each line ends with the local moment (μB).
Atoms (fractional coordinates):
Tl  0.000  0.000  0.000  0.01
Gd  0.250  0.250  0.250  -7.25
Ce  0.500  0.500  0.500  0.28
La  0.750  0.750  0.750  -0.07

SG = F-43m
Energy of formation = -13 meV per atom
Total magnetization = 7.610 μB per formula unit

---

The following is a DFT calculation (PBE) of a geometry-optimized Mg2AgBr structure.

Cell lengths 5.368, 5.368, 5.368 Å; angles 129.50, 129.50, 74.21 degrees
Atoms (fractional coordinates):
Ag  0.250  0.750  0.500
Br  0.750  0.250  0.500
Mg  0.000  0.000  0.000
Mg  0.500  0.500  0.000

SG = I4/mmm
Total magnetization = 0.000 μB per formula unit
Formation energy without anion corrections = -0.091 eV per atom

---

The following is a DFT calculation (PBE) of a geometry-optimized CeSmHgI structure.

Cell lengths 5.445, 5.445, 5.445 Å; angles 60.00, 60.00, 60.00 degrees
Each line ends with the local moment (μB).
Atoms (fractional coordinates):
I  0.000  0.000  0.000  -0.01
Ce  0.250  0.250  0.250  0.81
Hg  0.500  0.500  0.500  0.02
Sm  0.750  0.750  0.750  0.09

SG = F-43m
Total magnetization = 1.168 μB per formula unit
Formation energy without anion corrections = -0.443 eV per atom

---

The following is a DFT calculation (PBE) of a geometry-optimized ScPaBi2 structure.

Cell lengths 3.879, 5.281, 5.281 Å; angles 90.00, 90.00, 90.00 degrees
Each line ends with the local moment (μB).
Atoms (fractional coordinates):
Sc  0.500  0.000  0.000  0.42
Pa  0.500  0.500  0.500  0.82
Bi  0.000  0.000  0.500  -0.05
Bi  0.000  0.500  0.000  -0.05

SG = P4/mmm
Energy of formation = -279 meV per atom
Total magnetization = 1.699 μB per formula unit

---

The following is a DFT calculation (PBE) of a geometry-optimized TiAlOs3 structure.

Cell lengths 4.383, 4.383, 4.383 Å; angles 90.00, 90.00, 90.00 degrees
Atoms (fractional coordinates):
Os  0.000  0.500  0.000
Os  0.000  0.000  0.500
Os  0.500  0.000  0.000
Al  0.000  0.000  0.000
Ti  0.500  0.500  0.500

SG = Pm-3m
Energy of formation = 1107 meV per atom
Total magnetization = 0.000 μB per formula unit

---

The following is a DFT calculation (PBE) of a geometry-optimized Cr3TeC structure.

Cell lengths 4.672, 4.672, 4.672 Å; angles 90.00, 90.00, 90.00 degrees
Atoms (fractional coordinates):
Cr  0.000  0.500  0.000
Cr  0.000  0.000  0.500
Cr  0.500  0.000  0.000
C  0.500  0.500  0.500
Te  0.000  0.000  0.000

SG = Pm-3m
Total magnetization = 0.001 μB per formula unit
Formation energy without anion corrections = 3.100 eV per atom

---

The following is a DFT calculation (PBE) of a geometry-optimized LiSi3Pd3 structure.

Cell lengths 7.089, 7.089, 6.444 Å; angles 56.63, 56.63, 60.00 degrees
Atoms (fractional coordinates):
Li  0.332  0.332  0.003
Li  0.668  0.668  0.997
Si  0.457  0.771  0.659
Si  0.771  0.113  0.659
Si  0.113  0.457  0.659
Si  0.887  0.543  0.341
Si  0.229  0.887  0.341
Si  0.543  0.229  0.341
Pd  0.261  0.623  0.176
Pd  0.940  0.261  0.176
Pd  0.623  0.940  0.176
Pd  0.377  0.060  0.824
Pd  0.060  0.739  0.824
Pd  0.739  0.377  0.824

SG = R-3
Total magnetization = 0.000 μB per formula unit
Formation energy without anion corrections = -0.484 eV per atom

---

The following is a DFT calculation (PBE) of a geometry-optimized La2AlNi6Ge structure.

Cell lengths 6.138, 6.329, 6.179 Å; angles 58.84, 62.14, 91.26 degrees
Atoms (fractional coordinates):
La  0.707  0.290  0.585
La  0.293  0.710  0.415
Al  0.000  0.000  0.000
Ni  0.184  0.123  0.492
Ni  0.879  0.672  0.944
Ni  0.325  0.820  0.808
Ni  0.675  0.180  0.192
Ni  0.121  0.328  0.056
Ni  0.816  0.877  0.508
Ge  0.500  0.500  0.000

SG = P-1
Energy of formation = -385 meV per atom
Total magnetization = 0.000 μB per formula unit

---

The following is a DFT calculation (PBE) of a geometry-optimized ZnSiPd2 structure.

Cell lengths 3.066, 4.307, 4.307 Å; angles 90.00, 90.00, 90.00 degrees
Atoms (fractional coordinates):
Zn  0.500  0.000  0.000
Si  0.500  0.500  0.500
Pd  0.000  0.000  0.500
Pd  0.000  0.500  0.000

SG = P4/mmm
Total magnetization = 0.000 μB per formula unit
Formation energy without anion corrections = -0.452 eV per atom